DFT (PBE) results for crystalline Rb2Au2I at its relaxed geometry.

For the raw formation energy, the calculation gives -0.4270 eV/atom. The value obtained for the energy above the most stable polymorph in this dataset is 53 meV per atom. Its symmetry is No. 127.

The structure in extended XYZ format:
```
10
Lattice="-7.375 -0.573 -4.811 2.700 -7.761 -3.214 -2.164 -2.236 3.583" Properties=species:S:1:pos:R:3 pbc="T T T"
I 0.000 0.000 0.000
I -2.337 -4.167 -4.012
Au -0.481 -7.146 -4.750
Au -4.934 -5.232 -6.245
Au -4.193 -1.189 -3.274
Au 0.259 -3.102 -1.780
Rb -0.602 -6.551 -1.310
Rb -3.945 -7.828 -4.125
Rb -6.236 -4.020 -3.132
Rb -2.893 -2.743 -0.316
```